{
  "formula": "Tb8Pr2Sc3",
  "functional": "PBE",
  "state": "relaxed",
  "dft_energy_ev_per_atom": -4.858,
  "e_form_ev_per_atom": 0.188,
  "spacegroup": "C2/m, No. 12",
  "cell": [[5.7887, 0.3269, 1.3171], [1.8950, 8.3279, 1.6682], [0.8046, -0.4950, 8.6507]],
  "species": ["Tb", "Tb", "Tb", "Tb", "Tb", "Tb", "Tb", "Tb", "Pr", "Pr", "Sc", "Sc", "Sc"],
  "frac_coords": [[0.2239, 0.5842, 0.5842], [0.7761, 0.4158, 0.4158], [0.8897, 0.1362, 0.1362], [0.1103, 0.8638, 0.8638], [0.6491, 0.6119, 0.0793], [0.6491, 0.0793, 0.6119], [0.3509, 0.9207, 0.3881], [0.3509, 0.3881, 0.9207], [0.3426, 0.3186, 0.3186], [0.6574, 0.6814, 0.6814], [0.5000, 0.0000, 0.0000], [0.0000, 0.2611, 0.7389], [0.0000, 0.7389, 0.2611]]
}

***

{
  "formula": "Tb12PrSc2",
  "functional": "PBE",
  "state": "relaxed",
  "dft_energy_ev_per_atom": -4.751,
  "e_form_ev_per_atom": 0.116,
  "spacegroup": "P2/m, No. 10",
  "cell": [[-3.6651, 2.3627, -4.1562], [-0.3912, -5.9913, -0.4911], [-27.9434, -6.4937, 10.1600]],
  "species": ["Tb", "Tb", "Tb", "Tb", "Tb", "Tb", "Tb", "Tb", "Tb", "Tb", "Tb", "Tb", "Tb", "Tb", "Tb", "Tb", "Tb", "Tb", "Tb", "Tb", "Tb", "Tb", "Tb", "Tb", "Pr", "Pr", "Sc", "Sc", "Sc", "Sc"],
  "frac_coords": [[0.3470, 0.3470, 0.8024], [0.8470, 0.8470, 0.8024], [0.6192, 0.6192, 0.9320], [0.2331, 0.7331, 0.8673], [0.9375, 0.9375, 0.3208], [0.2669, 0.7669, 0.1327], [0.6695, 0.1695, 0.6178], [0.4375, 0.4375, 0.3208], [0.1192, 0.1192, 0.9320], [0.8808, 0.8808, 0.0680], [0.2836, 0.2836, 0.5525], [0.8305, 0.3305, 0.3822], [0.0625, 0.0625, 0.6792], [0.2164, 0.2164, 0.4475], [0.3808, 0.3808, 0.0680], [0.7164, 0.7164, 0.4475], [0.7836, 0.7836, 0.5525], [0.1530, 0.1530, 0.1976], [0.1695, 0.6695, 0.6178], [0.5625, 0.5625, 0.6792], [0.7331, 0.2331, 0.8673], [0.6530, 0.6530, 0.1976], [0.3305, 0.8305, 0.3822], [0.7669, 0.2669, 0.1327], [0.5000, 0.0000, 0.0000], [0.0000, 0.5000, 0.0000], [0.5459, 0.0459, 0.2589], [0.0459, 0.5459, 0.2590], [0.9541, 0.4541, 0.7411], [0.4541, 0.9541, 0.7410]]
}

***

{
  "formula": "TbPr5Sc4",
  "functional": "PBE",
  "state": "relaxed",
  "dft_energy_ev_per_atom": -5.335,
  "e_form_ev_per_atom": 0.050,
  "spacegroup": "P4/mmm, No. 123",
  "cell": [[-3.3380, 1.2768, -0.6616], [0.4237, -0.7246, -3.5363], [-8.7978, -21.2870, 3.3079]],
  "species": ["Tb", "Pr", "Pr", "Pr", "Pr", "Pr", "Sc", "Sc", "Sc", "Sc"],
  "frac_coords": [[0.0000, 0.0000, 0.0000], [0.5000, 0.5000, 0.1092], [0.5000, 0.5000, 0.3053], [0.5000, 0.5000, 0.5000], [0.5000, 0.5000, 0.6947], [0.5000, 0.5000, 0.8908], [0.0000, 0.0000, 0.2076], [0.0000, 0.0000, 0.4026], [0.0000, 0.0000, 0.5974], [0.0000, 0.0000, 0.7924]]
}